one | A relaxed structure of CrPb2Cl2. Source: Alexandria, functional PBE.

The space group is P4/mbm (No. 127) and the conventional cell measures 7.854, 7.854 and 4.937 Å, with angles of 90.00, 90.00 and 90.00 degrees. Symmetry generates all atoms from Cr at (0.000, 0.000, 0.000), Pb at (0.214, 0.286, 0.000) and Cl at (0.159, 0.659, 0.500).

Its total magnetic moment is 8.0 μB per cell.

two | A relaxed structure of CrPb2Cl2. Source: Alexandria, functional PBE.

The space group is I4/mmm (No. 139) and the conventional cell measures 4.554, 4.554 and 13.973 Å, with angles of 90.00, 90.00 and 90.00 degrees. Symmetry generates all atoms from Cr at (0.000, 0.000, 0.000), Pb at (0.000, 0.000, 0.388) and Cl at (0.000, 0.500, 0.250).

Its total magnetic moment is 9.5 μB per cell.

Which of them is least stable? Easy: two.

one | A relaxed structure of CrPd2Cl. Source: Alexandria, functional PBE.

The space group is I-42d (No. 122) and the conventional cell measures 7.220, 7.220 and 5.316 Å, with angles of 90.00, 90.00 and 90.00 degrees. Symmetry generates all atoms from Cr at (0.000, 0.000, 0.000), Pd at (0.248, 0.250, 0.125) and Cl at (0.000, 0.000, 0.500).

Its total magnetic moment is 15.3 μB per cell.

two | A relaxed structure of CrPd2Cl. Source: Alexandria, functional PBE.

The space group is Fm-3m (No. 225) and the conventional cell measures 6.274, 6.274 and 6.274 Å, with angles of 90.00, 90.00 and 90.00 degrees. Symmetry generates all atoms from Cr at (0.000, 0.000, 0.000), Pd at (0.250, 0.250, 0.250) and Cl at (0.000, 0.000, 0.500).

Its total magnetic moment is 0.0 μB per cell.

Which of them is least stable? Easy: two.

one | A relaxed structure of CrPdSCl2. Source: Alexandria, functional PBE.

The space group is P4/mmm (No. 123) and the conventional cell measures 4.796, 4.796 and 4.813 Å, with angles of 90.00, 90.00 and 90.00 degrees. Symmetry generates all atoms from Cr at (0.000, 0.000, 0.000), Pd at (0.500, 0.500, 0.500), S at (0.500, 0.500, 0.000) and Cl at (0.000, 0.500, 0.500).

Its total magnetic moment is 4.1 μB per cell.

two | A relaxed structure of CrPdSCl2. Source: Alexandria, functional PBE.

The space group is P4/mmm (No. 123) and the conventional cell measures 4.744, 4.744 and 4.596 Å, with angles of 90.00, 90.00 and 90.00 degrees. Symmetry generates all atoms from Cr at (0.000, 0.000, 0.000), Pd at (0.500, 0.500, 0.500), S at (0.000, 0.000, 0.500) and Cl at (0.000, 0.500, 0.000).

Its total magnetic moment is 2.0 μB per cell.

Which of them is least stable? Easy: one.

one | A relaxed structure of CrPt3Cl. Source: Alexandria, functional PBE.

The space group is Pm-3m (No. 221) and the conventional cell measures 4.633, 4.633 and 4.633 Å, with angles of 90.00, 90.00 and 90.00 degrees. Symmetry generates all atoms from Cr at (0.000, 0.000, 0.000), Pt at (0.000, 0.000, 0.500) and Cl at (0.500, 0.500, 0.500).

Its total magnetic moment is 0.0 μB per cell.

two | A relaxed structure of CrPt3Cl. Source: Alexandria, functional PBE.

The space group is Pm-3m (No. 221) and the conventional cell measures 4.546, 4.546 and 4.546 Å, with angles of 90.00, 90.00 and 90.00 degrees. Symmetry generates all atoms from Cr at (0.000, 0.000, 0.000), Pt at (0.000, 0.500, 0.500) and Cl at (0.500, 0.500, 0.500).

Its total magnetic moment is 4.6 μB per cell.

Which of them is least stable? Easy: one.

one | A relaxed structure of CrPtCl. Source: Alexandria, functional PBE.

The space group is Amm2 (No. 38) and the conventional cell measures 3.243, 10.660 and 7.155 Å, with angles of 90.00, 90.00 and 90.00 degrees. Symmetry generates all atoms from Cr at (0.000, 0.087, 0.000), Pt at (0.500, 0.117, 0.257) and Cl at (0.500, 0.152, 0.775).

Its total magnetic moment is 0.0 μB per cell.

two | A relaxed structure of CrPtCl. Source: Alexandria, functional PBE.

The space group is P1 (No. 1) and the conventional cell measures 2.896, 2.898 and 6.979 Å, with angles of 98.84, 90.26 and 119.95 degrees. Symmetry generates all atoms from Cr at (0.000, 0.000, 0.000), Pt at (0.590, 0.187, 0.710) and Cl at (0.724, 0.444, 0.222).

Its total magnetic moment is 0.0 μB per cell.

three | A relaxed structure of CrPtCl. Source: Alexandria, functional PBE.

The space group is Cm (No. 8) and the conventional cell measures 5.727, 3.346 and 6.319 Å, with angles of 90.00, 107.04 and 90.00 degrees. Symmetry generates all atoms from Cr at (0.000, 0.000, 0.000), Pt at (0.420, 0.000, 0.261) and Cl at (0.084, 0.500, 0.750).

Its total magnetic moment is 6.0 μB per cell.

four | A relaxed structure of CrPtCl. Source: Alexandria, functional PBE.

The space group is P1 (No. 1) and the conventional cell measures 2.840, 5.792 and 6.579 Å, with angles of 77.94, 89.95 and 75.86 degrees. Symmetry generates all atoms from Cr at (0.000, 0.000, 0.000), Cr at (0.175, 0.644, 0.027), Pt at (0.593, 0.813, 0.327), Pt at (0.854, 0.279, 0.264), Cl at (0.431, 0.138, 0.736) and Cl at (0.693, 0.610, 0.766).

Its total magnetic moment is 0.0 μB per cell.

Which of them is least stable? Easy: two.

one | A relaxed structure of CrPtCl. Source: Alexandria, functional PBE.

The space group is Cm (No. 8) and the conventional cell measures 10.598, 2.872 and 7.401 Å, with angles of 90.00, 109.46 and 90.00 degrees. Symmetry generates all atoms from Cr at (0.000, 0.000, 0.000), Cr at (0.162, 0.000, 0.939), Pt at (0.059, 0.500, 0.293), Pt at (0.303, 0.500, 0.229), Cl at (0.102, 0.500, 0.676) and Cl at (0.367, 0.000, 0.788).

Its total magnetic moment is 0.0 μB per cell.

two | A relaxed structure of CrPtCl. Source: Alexandria, functional PBE.

The space group is P1 (No. 1) and the conventional cell measures 2.846, 5.750 and 6.626 Å, with angles of 97.08, 90.05 and 104.32 degrees. Symmetry generates all atoms from Cr at (0.000, 0.000, 0.000), Cr at (0.171, 0.345, 0.961), Pt at (0.368, 0.730, 0.233), Pt at (0.645, 0.293, 0.285), Cl at (0.425, 0.851, 0.753) and Cl at (0.679, 0.363, 0.695).

Its total magnetic moment is 0.0 μB per cell.

Which of them is least stable? Easy: two.

one | A relaxed structure of CrPtCl2. Source: Alexandria, functional PBE.

The space group is P4/mmm (No. 123) and the conventional cell measures 4.521, 4.521 and 3.408 Å, with angles of 90.00, 90.00 and 90.00 degrees. Symmetry generates all atoms from Cr at (0.000, 0.000, 0.000), Pt at (0.500, 0.500, 0.000) and Cl at (0.000, 0.500, 0.500).

Its total magnetic moment is 4.3 μB per cell.

two | A relaxed structure of CrPtCl2. Source: Alexandria, functional PBE.

The space group is Cmmm (No. 65) and the conventional cell measures 3.134, 5.397 and 10.267 Å, with angles of 90.00, 90.00 and 90.00 degrees. Symmetry generates all atoms from Cr at (0.000, 0.000, 0.000), Pt at (0.000, 0.000, 0.500) and Cl at (0.000, 0.500, 0.165).

Its total magnetic moment is 6.8 μB per cell.

Which of them is least stable? Easy: one.

one | A relaxed structure of Cr3PtCl. Source: Alexandria, functional PBE.

The space group is Pm-3m (No. 221) and the conventional cell measures 4.111, 4.111 and 4.111 Å, with angles of 90.00, 90.00 and 90.00 degrees. Symmetry generates all atoms from Cr at (0.000, 0.000, 0.500), Pt at (0.500, 0.500, 0.500) and Cl at (0.000, 0.000, 0.000).

Its total magnetic moment is 1.3 μB per cell.

two | A relaxed structure of Cr3PtCl. Source: Alexandria, functional PBE.

The space group is Pm-3m (No. 221) and the conventional cell measures 4.962, 4.962 and 4.962 Å, with angles of 90.00, 90.00 and 90.00 degrees. Symmetry generates all atoms from Cr at (0.000, 0.000, 0.500), Pt at (0.000, 0.000, 0.000) and Cl at (0.500, 0.500, 0.500).

Its total magnetic moment is 12.7 μB per cell.

Which of them is least stable? Easy: two.

one | A relaxed structure of Rb2CrCl5. Source: Alexandria, functional PBE.

The space group is Pnma (No. 62) and the conventional cell measures 9.093, 6.990 and 14.499 Å, with angles of 90.00, 90.00 and 90.00 degrees. Symmetry generates all atoms from Rb at (0.032, 0.250, 0.205), Rb at (0.170, 0.750, 0.417), Cr at (0.173, 0.750, 0.060), Cl at (0.000, 0.000, 0.000), Cl at (0.036, 0.750, 0.196), Cl at (0.174, 0.012, 0.613) and Cl at (0.212, 0.250, 0.412).

Its total magnetic moment is 12.0 μB per cell.

two | A relaxed structure of Rb2CrCl5. Source: Alexandria, functional PBE.

The space group is I4mm (No. 107) and the conventional cell measures 7.478, 7.478 and 9.282 Å, with angles of 90.00, 90.00 and 90.00 degrees. Symmetry generates all atoms from Rb at (0.000, 0.500, 0.000), Cr at (0.000, 0.000, 0.218), Cl at (0.000, 0.000, 0.979) and Cl at (0.218, 0.218, 0.254).

Its total magnetic moment is 6.0 μB per cell.

Which of them is least stable? Easy: two.

one | A relaxed structure of Rb2CrCl4. Source: Alexandria, functional PBE.

The space group is I4/mmm (No. 139) and the conventional cell measures 5.005, 5.005 and 14.859 Å, with angles of 90.00, 90.00 and 90.00 degrees. Symmetry generates all atoms from Rb at (0.000, 0.000, 0.235), Cr at (0.000, 0.000, 0.500) and Cl at (0.000, 0.500, 0.105).

Its total magnetic moment is 8.0 μB per cell.

two | A relaxed structure of Rb2CrCl4. Source: Alexandria, functional PBE.

The space group is I4/mmm (No. 139) and the conventional cell measures 5.061, 5.061 and 16.148 Å, with angles of 90.00, 90.00 and 90.00 degrees. Symmetry generates all atoms from Rb at (0.000, 0.000, 0.141), Cr at (0.000, 0.000, 0.500), Cl at (0.000, 0.000, 0.348) and Cl at (0.000, 0.500, 0.000).

Its total magnetic moment is 8.0 μB per cell.

Which of them is least stable? Easy: one.

one | A relaxed structure of Rb2CrCl4. Source: Alexandria, functional PBE.

The space group is I4/mmm (No. 139) and the conventional cell measures 6.305, 6.305 and 25.883 Å, with angles of 90.00, 90.00 and 90.00 degrees. Symmetry generates all atoms from Rb at (0.000, 0.000, 0.222), Cr at (0.000, 0.000, 0.000), Cl at (0.000, 0.000, 0.084) and Cl at (0.000, 0.500, 0.250).

Its total magnetic moment is 8.7 μB per cell.

two | A relaxed structure of Rb2CrCl4. Source: Alexandria, functional PBE.

The space group is Cmce (No. 64) and the conventional cell measures 16.019, 7.244 and 7.242 Å, with angles of 90.00, 90.00 and 90.00 degrees. Symmetry generates all atoms from Rb at (0.140, 0.000, 0.000), Cr at (0.000, 0.000, 0.500), Cl at (0.000, 0.237, 0.263) and Cl at (0.152, 0.000, 0.500).

Its total magnetic moment is 16.0 μB per cell.

Which of them is least stable? Easy: one.